# GGA-PBE RbHf4Te8, optimized geometry
# ΔE_f (raw) = -828 meV/atom
data_RbHf4Te8
_space_group_name_H-M_alt 'C 1 2/m 1'
_space_group_IT_number 12
_space_group_name_Hall '-C 2y'
_cell_length_a 19.6993
_cell_length_b 4.0336
_cell_length_c 13.7160
_cell_angle_alpha 90.00
_cell_angle_beta 129.50
_cell_angle_gamma 90.00
loop_
_atom_site_label
_atom_site_type_symbol
_atom_site_fract_x
_atom_site_fract_y
_atom_site_fract_z
Rb1 Rb 0.0000 0.0000 0.0000
Hf1 Hf 0.1530 0.0000 0.4733
Hf2 Hf 0.1686 0.5000 0.8414
Te1 Te 0.0372 0.0000 0.7422
Te2 Te 0.1267 0.5000 0.5934
Te3 Te 0.1599 0.5000 0.3263
Te4 Te 0.1989 0.5000 0.0768

=====

# GGA-PBE PrNd4Tm, optimized geometry
# E_form = 0.02 eV per atom
data_PrNd4Tm
_space_group_name_H-M_alt 'C m m m'
_space_group_IT_number 65
_space_group_name_Hall '-C 2 2'
_cell_length_a 5.1766
_cell_length_b 15.5469
_cell_length_c 5.1550
_cell_angle_alpha 90.00
_cell_angle_beta 90.00
_cell_angle_gamma 90.00
loop_
_atom_site_label
_atom_site_type_symbol
_atom_site_fract_x
_atom_site_fract_y
_atom_site_fract_z
Pr1 Pr 0.0000 0.0000 0.0000
Nd1 Nd 0.0000 0.1660 0.5000
Nd2 Nd 0.0000 0.3346 0.0000
Tm1 Tm 0.0000 0.5000 0.5000

=====

# GGA-PBE La7Dy2Er2, optimized geometry
# E_form = 0.12 eV per atom
data_La7Dy2Er2
_space_group_name_H-M_alt 'C 1 2/m 1'
_space_group_IT_number 12
_space_group_name_Hall '-C 2y'
_cell_length_a 11.4812
_cell_length_b 11.6470
_cell_length_c 6.2102
_cell_angle_alpha 90.00
_cell_angle_beta 111.53
_cell_angle_gamma 90.00
loop_
_atom_site_label
_atom_site_type_symbol
_atom_site_fract_x
_atom_site_fract_y
_atom_site_fract_z
La1 La 0.0000 0.0000 0.0000
La2 La 0.0749 0.5000 0.8022
La3 La 0.1844 0.2332 0.1834
Dy1 Dy 0.0000 0.2102 0.5000
Er1 Er 0.2273 0.0000 0.5866